## P
## NbCr3O (PBE with a Hubbard U)

Data for a relaxed NbCr3O crystal.

abc: 4.241 4.241 4.241
angles: 90.00 90.00 90.00
Fractional positions:
Nb: 0.000 0.000 0.000
Cr: 0.000 0.500 0.500
Cr: 0.500 0.000 0.500
Cr: 0.500 0.500 0.000
O: 0.500 0.500 0.500

DOS(E_F) = 0.55 states/eV per cell
Symmetry = Pm-3m



## Q
## NbCr3O (PBE with a Hubbard U)

Data for a relaxed NbCr3O crystal.

abc: 4.918 4.918 4.918
angles: 90.00 90.00 90.00
Fractional positions:
Nb: 0.000 0.000 0.000
Cr: 0.000 0.000 0.500
Cr: 0.000 0.500 0.000
Cr: 0.500 0.000 0.000
O: 0.500 0.500 0.500

DOS(E_F) = 3.37 states/eV per cell
Symmetry = Pm-3m



It is P that is the most stable of them.



## P
## NbCrO2 (PBE with a Hubbard U)

Data for a relaxed NbCrO2 crystal.

abc: 6.492 6.492 6.492
angles: 138.89 138.89 59.54
Fractional positions:
Nb: 0.000 0.000 0.000
Nb: 0.750 0.250 0.500
Cr: 0.250 0.750 0.500
Cr: 0.500 0.500 0.000
O: 0.069 0.625 0.944
O: 0.375 0.319 0.444
O: 0.681 0.125 0.056
O: 0.875 0.931 0.556

DOS(E_F) = 6.70 states/eV per cell
Symmetry = I-42d



## Q
## NbCrO2 (PBE with a Hubbard U)

Data for a relaxed NbCrO2 crystal.

abc: 6.873 6.873 6.873
angles: 24.82 24.82 24.82
Fractional positions:
Nb: 0.000 0.000 0.000
Cr: 0.500 0.500 0.500
O: 0.400 0.400 0.400
O: 0.600 0.600 0.600

DOS(E_F) = 2.05 states/eV per cell
Symmetry = R-3m



## R
## NbCrO2 (PBE with a Hubbard U)

Data for a relaxed NbCrO2 crystal.

abc: 3.907 3.907 3.907
angles: 60.00 60.00 60.00
Fractional positions:
Nb: 0.000 0.000 0.000
Cr: 0.500 0.500 0.500
O: 0.250 0.250 0.250
O: 0.750 0.750 0.750

DOS(E_F) = 0.00 states/eV per cell
Symmetry = Fm-3m



It is Q that is the most stable of them.



## P
## NbCr2O (PBE with a Hubbard U)

Data for a relaxed NbCr2O crystal.

abc: 5.816 5.816 5.816
angles: 119.40 119.40 91.04
Fractional positions:
Nb: 0.000 0.000 0.000
Nb: 0.750 0.250 0.500
Cr: 0.258 0.625 0.133
Cr: 0.375 0.508 0.633
Cr: 0.492 0.125 0.867
Cr: 0.875 0.742 0.367
O: 0.250 0.750 0.500
O: 0.500 0.500 0.000

DOS(E_F) = 1.61 states/eV per cell
Symmetry = I-42d



## Q
## NbCr2O (PBE with a Hubbard U)

Data for a relaxed NbCr2O crystal.

abc: 4.432 4.432 4.432
angles: 60.00 60.00 60.00
Fractional positions:
Nb: 0.000 0.000 0.000
Cr: 0.250 0.250 0.250
Cr: 0.750 0.750 0.750
O: 0.500 0.500 0.500

DOS(E_F) = 1.86 states/eV per cell
Symmetry = Fm-3m



It is P that is the most stable of them.



## P
## NbCrP2O (PBE with a Hubbard U)

Data for a relaxed NbCrP2O crystal.

abc: 4.743 4.743 3.483
angles: 90.00 90.00 90.00
Fractional positions:
Nb: 0.000 0.000 0.000
Cr: 0.500 0.500 0.500
P: 0.000 0.500 0.500
P: 0.500 0.000 0.500
O: 0.500 0.500 0.000

DOS(E_F) = 4.73 states/eV per cell
Symmetry = P4/mmm



## Q
## NbCrP2O (PBE with a Hubbard U)

Data for a relaxed NbCrP2O crystal.

abc: 4.957 4.957 3.872
angles: 90.00 90.00 90.00
Fractional positions:
Nb: 0.000 0.000 0.000
Cr: 0.500 0.500 0.500
P: 0.000 0.500 0.000
P: 0.500 0.000 0.000
O: 0.000 0.000 0.500

DOS(E_F) = 3.44 states/eV per cell
Symmetry = P4/mmm



It is Q that is the most stable of them.



## P
## NbCrPO2 (PBE with a Hubbard U)

Data for a relaxed NbCrPO2 crystal.

abc: 3.696 3.696 5.120
angles: 90.00 90.00 90.00
Fractional positions:
Nb: 0.000 0.000 0.000
Cr: 0.500 0.500 0.500
P: 0.500 0.500 0.000
O: 0.000 0.500 0.500
O: 0.500 0.000 0.500

DOS(E_F) = 4.43 states/eV per cell
Symmetry = P4/mmm



## Q
## NbCrPO2 (PBE with a Hubbard U)

Data for a relaxed NbCrPO2 crystal.

abc: 3.896 3.896 5.335
angles: 90.00 90.00 90.00
Fractional positions:
Nb: 0.000 0.000 0.000
Cr: 0.500 0.500 0.500
P: 0.000 0.000 0.500
O: 0.000 0.500 0.000
O: 0.500 0.000 0.000

DOS(E_F) = 0.41 states/eV per cell
Symmetry = P4/mmm



It is Q that is the most stable of them.



## P
## Nb2CrPO (PBE with a Hubbard U)

Data for a relaxed Nb2CrPO crystal.

abc: 4.836 4.836 3.436
angles: 90.00 90.00 90.00
Fractional positions:
Nb: 0.000 0.500 0.000
Nb: 0.500 0.000 0.000
Cr: 0.000 0.000 0.500
P: 0.500 0.500 0.000
O: 0.500 0.500 0.500

DOS(E_F) = 3.68 states/eV per cell
Symmetry = P4/mmm



## Q
## Nb2CrPO (PBE with a Hubbard U)

Data for a relaxed Nb2CrPO crystal.

abc: 4.322 4.322 3.822
angles: 90.00 90.00 90.00
Fractional positions:
Nb: 0.000 0.500 0.000
Nb: 0.500 0.000 0.000
Cr: 0.000 0.000 0.500
P: 0.500 0.500 0.500
O: 0.000 0.000 0.000

DOS(E_F) = 3.46 states/eV per cell
Symmetry = P4/mmm



It is Q that is the most stable of them.